First-principles (GGA-PBE) data for GeHF2 after structural relaxation, as listed in Alexandria via LeMat-Bulk.

a b c (Å): 4.670 4.670 5.006
angles (deg): 62.20 62.20 90.00
Positions (direct):
1 F 0.375 0.557 0.750
2 F 0.307 0.625 0.250
3 F 0.443 0.125 0.250
4 F 0.875 0.693 0.750
5 Ge 0.750 0.250 0.500
6 Ge 0.000 0.000 0.000
7 H 0.250 0.750 0.500
8 H 0.500 0.500 0.000

Values from the calculation:
The energy above the most stable polymorph in this dataset is 551.3 meV per atom. Its symmetry is No. 122.



First-principles (GGA-PBE) data for Cs2TeSF6 after structural relaxation, as listed in Alexandria via LeMat-Bulk.

a b c (Å): 6.837 6.837 7.184
angles (deg): 61.59 61.59 90.00
Positions (direct):
1 F 0.216 0.216 0.000
2 F 0.804 0.804 0.392
3 F 0.216 0.784 0.000
4 F 0.196 0.196 0.608
5 F 0.784 0.784 0.000
6 F 0.784 0.216 0.000
7 Te 0.000 0.000 0.000
8 Cs 0.250 0.750 0.500
9 Cs 0.750 0.250 0.500
10 S 0.500 0.500 0.000

Values from the calculation:
The formation energy from raw total energies is -1.930 eV/atom. Its symmetry is No. 139.



First-principles (GGA-PBE) data for Ac3Rh2Au4 after structural relaxation, as listed in Alexandria via LeMat-Bulk.

a b c (Å): 4.418 6.380 9.208
angles (deg): 72.44 76.12 69.74
Positions (direct):
1 Rh 0.387 0.956 0.270
2 Rh 0.613 0.044 0.730
3 Ac 0.000 0.000 0.000
4 Ac 0.684 0.270 0.362
5 Ac 0.316 0.730 0.638
6 Au 0.271 0.382 0.076
7 Au 0.024 0.315 0.637
8 Au 0.729 0.618 0.924
9 Au 0.976 0.685 0.363

Values from the calculation:
The energy of formation comes out at -0.704 eV/atom. Its symmetry is No. 12.



First-principles (GGA-PBE) data for V2CoS4 after structural relaxation, as listed in Alexandria via LeMat-Bulk.

a b c (Å): 4.563 4.563 6.574
angles (deg): 69.69 69.69 90.00
Positions (direct):
1 Co 0.000 0.000 0.000
2 S 0.804 0.804 0.392
3 S 0.000 0.500 0.000
4 S 0.500 0.000 0.000
5 S 0.196 0.196 0.608
6 V 0.383 0.383 0.234
7 V 0.617 0.617 0.766

Values from the calculation:
The formation energy from raw total energies is -0.084 eV/atom. Its symmetry is No. 139.



First-principles (GGA-PBE) data for PmLu2Hf after structural relaxation, as listed in Alexandria via LeMat-Bulk.

a b c (Å): 3.313 3.313 12.136
angles (deg): 82.16 82.16 60.00
Positions (direct):
1 Lu 0.086 0.086 0.742
2 Lu 0.914 0.914 0.258
3 Pm 0.500 0.500 0.500
4 Hf 0.000 0.000 0.000

Values from the calculation:
The energy of formation comes out at 0.371 eV/atom. The energy above the most stable polymorph in this dataset is 227.6 meV per atom. Its symmetry is No. 166.



First-principles (GGA-PBE) data for Sc8GaRh2 after structural relaxation, as listed in Alexandria via LeMat-Bulk.

a b c (Å): 4.986 7.414 7.414
angles (deg): 114.08 98.87 98.87
Positions (direct):
1 Sc 0.417 0.926 0.675
2 Sc 0.811 0.621 0.621
3 Sc 0.189 0.386 0.386
4 Sc 0.000 0.767 0.238
5 Sc 0.582 0.330 0.080
6 Sc 0.582 0.080 0.330
7 Sc 0.000 0.238 0.767
8 Sc 0.417 0.675 0.926
9 Rh 0.501 0.311 0.695
10 Rh 0.501 0.695 0.311
11 Ga 0.001 0.003 0.003

Values from the calculation:
The energy of formation comes out at -0.411 eV/atom. Its symmetry is No. 8.



First-principles (GGA-PBE) data for ZrMoRu after structural relaxation, as listed in Alexandria via LeMat-Bulk.

a b c (Å): 4.499 4.499 2.904
angles (deg): 90.00 90.00 120.00
Positions (direct):
1 Mo 0.000 0.000 0.016
2 Ru 0.333 0.667 0.318
3 Zr 0.667 0.333 0.666

Values from the calculation:
The energy of formation comes out at 0.001 eV/atom. The energy above the most stable polymorph in this dataset is 214.3 meV per atom. Its symmetry is No. 156.



First-principles (GGA-PBE) data for CuSiCl3 after structural relaxation, as listed in Alexandria via LeMat-Bulk.

a b c (Å): 4.723 4.723 4.723
angles (deg): 90.00 90.00 90.00
Positions (direct):
1 Cl 0.000 0.000 0.500
2 Cl 0.000 0.500 0.000
3 Cl 0.500 0.000 0.000
4 Si 0.500 0.500 0.500
5 Cu 0.000 0.000 0.000

Values from the calculation:
The formation energy from raw total energies is 0.045 eV/atom. Its symmetry is No. 221.



First-principles (GGA-PBE) data for Pm6Tl5Sn after structural relaxation, as listed in Alexandria via LeMat-Bulk.

a b c (Å): 9.462 5.486 8.694
angles (deg): 71.61 79.45 54.54
Positions (direct):
1 Pm 0.749 0.415 0.671
2 Pm 0.749 0.086 0.329
3 Pm 0.251 0.914 0.671
4 Pm 0.245 0.255 0.000
5 Pm 0.251 0.585 0.329
6 Pm 0.755 0.745 0.000
7 Tl 0.000 0.672 0.656
8 Tl 0.500 0.834 0.333
9 Tl 0.500 0.500 0.000
10 Tl 0.500 0.166 0.667
11 Tl 0.000 0.328 0.344
12 Sn 0.000 0.000 0.000

Values from the calculation:
The energy of formation comes out at -0.438 eV/atom. Its symmetry is No. 65.



First-principles (GGA-PBE) data for SrBe3Cu after structural relaxation, as listed in Alexandria via LeMat-Bulk.

a b c (Å): 4.320 4.320 4.320
angles (deg): 90.00 90.00 90.00
Positions (direct):
1 Be 0.000 0.000 0.500
2 Be 0.000 0.500 0.000
3 Be 0.500 0.000 0.000
4 Cu 0.000 0.000 0.000
5 Sr 0.500 0.500 0.500

Values from the calculation:
The energy of formation comes out at 0.354 eV/atom. The energy above the most stable polymorph in this dataset is 0.0 meV per atom. Its symmetry is No. 221.



First-principles (GGA-PBE) data for CrCo2Ir2 after structural relaxation, as listed in Alexandria via LeMat-Bulk.

a b c (Å): 7.101 7.101 2.724
angles (deg): 90.00 90.00 90.00
Positions (direct):
1 Ir 0.131 0.369 0.000
2 Ir 0.369 0.869 0.000
3 Ir 0.631 0.131 0.000
4 Ir 0.869 0.631 0.000
5 Co 0.831 0.331 0.500
6 Co 0.169 0.669 0.500
7 Co 0.669 0.831 0.500
8 Co 0.331 0.169 0.500
9 Cr 0.000 0.000 0.000
10 Cr 0.500 0.500 0.000

Values from the calculation:
The energy of formation comes out at 0.324 eV/atom. The energy above the most stable polymorph in this dataset is 91.9 meV per atom. Its symmetry is No. 127.



First-principles (GGA-PBE) data for Zn3AgBr after structural relaxation, as listed in Alexandria via LeMat-Bulk.

a b c (Å): 5.037 5.037 5.037
angles (deg): 90.00 90.00 90.00
Positions (direct):
1 Zn 0.500 0.000 0.000
2 Zn 0.000 0.500 0.000
3 Zn 0.000 0.000 0.500
4 Br 0.500 0.500 0.500
5 Ag 0.000 0.000 0.000

Values from the calculation:
The formation energy from raw total energies is 0.132 eV/atom. The energy above the most stable polymorph in this dataset is 0.0 meV per atom. Its symmetry is No. 221.



First-principles (GGA-PBE) data for PmSm2P3Rh12 after structural relaxation, as listed in Alexandria via LeMat-Bulk.

a b c (Å): 6.754 6.754 6.754
angles (deg): 84.16 84.16 84.16
Positions (direct):
1 Rh 0.910 0.368 0.368
2 Rh 0.368 0.368 0.910
3 Rh 0.368 0.910 0.368
4 Rh 0.820 0.338 0.820
5 Rh 0.632 0.090 0.632
6 Rh 0.180 0.180 0.662
7 Rh 0.662 0.180 0.180
8 Rh 0.632 0.632 0.090
9 Rh 0.180 0.662 0.180
10 Rh 0.090 0.632 0.632
11 Rh 0.820 0.820 0.338
12 Rh 0.338 0.820 0.820
13 Pm 0.000 0.000 0.000
14 P 0.500 0.000 0.000
15 P 0.000 0.500 0.000
16 P 0.000 0.000 0.500
17 Sm 0.628 0.628 0.628
18 Sm 0.372 0.372 0.372

Values from the calculation:
The energy of formation comes out at -0.347 eV/atom. Its symmetry is No. 166.



Number 1: magnetization 0.00 μB per cell, total energy -3.6922 eV/atom. Number 2: magnetization 2.00 μB per cell, total energy -3.9503 eV/atom. Number 3: magnetization 0.00 μB per cell, total energy -5.1641 eV/atom. Number 4: magnetization 3.26 μB per cell, total energy -6.0625 eV/atom. Number 5: magnetization 0.00 μB per cell, total energy -5.5660 eV/atom. Number 6: magnetization 0.96 μB per cell, total energy -6.6277 eV/atom. Number 7: magnetization 0.00 μB per cell, total energy -9.5507 eV/atom. Number 8: magnetization 0.00 μB per cell, total energy -2.9672 eV/atom. Number 9: magnetization 0.00 μB per cell, total energy -4.1324 eV/atom. Number 10: magnetization 0.00 μB per cell, total energy -3.0368 eV/atom. Number 11: magnetization 11.52 μB per cell, total energy -7.9872 eV/atom. Number 12: magnetization 0.00 μB per cell, total energy -1.5370 eV/atom. Number 13: magnetization 0.00 μB per cell, total energy -6.9382 eV/atom.